(1)
KBeRe2 PBE optimized geometry; total DFT energy (no corrections) = -0.240 hartree per atom; space group = No. 71; formation enthalpy at 0 K = 900 meV/atom; total magnetization = 0.00 μB/cell; Fermi-level density of states = 2.946 states/eV per cell
1.0
-1.2855 2.4380 5.2896
1.2855 -2.4380 5.2896
1.2855 2.4380 -5.2896
K Be Re
1 1 2
Cartesian
0.0000 0.0000 0.0000
0.0000 0.0000 5.2896
1.2855 0.0000 3.1235
0.0000 2.4380 2.1661



(2)
KBeRe2 PBE optimized geometry; total DFT energy (no corrections) = -0.220 hartree per atom; space group = No. 47; formation enthalpy at 0 K = 1440 meV/atom; total magnetization = 0.00 μB/cell; Fermi-level density of states = 4.308 states/eV per cell
1.0
2.7119 0.0000 0.0000
0.0000 4.7849 0.0000
0.0000 0.0000 5.2387
K Be Re
1 1 2
Cartesian
0.0000 0.0000 0.0000
1.3559 2.3924 0.0000
0.0000 2.3924 2.6193
1.3559 0.0000 2.6193



(3)
K2BeRe PBE optimized geometry; total DFT energy (no corrections) = -0.110 hartree per atom; space group = No. 139; formation enthalpy at 0 K = 1596 meV/atom; total magnetization = 1.12 μB/cell; Fermi-level density of states = 0.882 states/eV per cell
1.0
-1.9193 1.9193 5.6148
1.9193 -1.9193 5.6148
1.9193 1.9193 -5.6148
K Be Re
2 1 1
Cartesian
1.9193 0.0000 2.8074
0.0000 1.9193 2.8074
0.0000 0.0000 0.0000
0.0000 0.0000 5.6148



(4)
KBeRe2 PBE optimized geometry; total DFT energy (no corrections) = -0.252 hartree per atom; space group = No. 99; formation enthalpy at 0 K = 586 meV/atom; total magnetization = 0.00 μB/cell; Fermi-level density of states = 2.680 states/eV per cell
1.0
3.0409 0.0000 0.0000
0.0000 3.0409 0.0000
0.0000 0.0000 8.1560
K Be Re
1 1 2
Cartesian
0.0000 0.0000 0.0000
1.5205 1.5205 5.4546
0.0000 0.0000 4.3874
1.5205 1.5205 2.9256



(5)
K2BeRe PBE optimized geometry; total DFT energy (no corrections) = -0.126 hartree per atom; space group = No. 44; formation enthalpy at 0 K = 1161 meV/atom; total magnetization = 0.96 μB/cell; Fermi-level density of states = 3.942 states/eV per cell
1.0
-1.3447 3.0720 6.2745
1.3447 -3.0720 6.2745
1.3447 3.0720 -6.2745
K Be Re
2 1 1
Cartesian
0.0000 0.0000 0.0000
0.0000 3.0720 2.5764
0.0000 0.0000 5.4931
1.3447 0.0000 3.6450



(6)
KBeRe2 PBE optimized geometry; total DFT energy (no corrections) = -0.221 hartree per atom; space group = No. 12; formation enthalpy at 0 K = 1429 meV/atom; total magnetization = 0.00 μB/cell; Fermi-level density of states = 2.908 states/eV per cell
1.0
2.6893 -5.0513 0.0000
2.6893 5.0513 0.0000
-0.8398 0.0000 2.4758
K Be Re
1 1 2
Cartesian
0.0000 0.0000 0.0000
2.6893 0.0000 0.0000
0.9247 2.5257 1.2379
0.9247 -2.5257 1.2379



(7)
K2BeRe PBE optimized geometry; total DFT energy (no corrections) = -0.116 hartree per atom; space group = No. 166; formation enthalpy at 0 K = 1449 meV/atom; total magnetization = 0.21 μB/cell; Fermi-level density of states = 2.742 states/eV per cell
1.0
1.4357 0.8289 11.8117
-1.4357 0.8289 11.8117
0.0000 -1.6578 11.8117
K Be Re
2 1 1
Cartesian
0.0000 0.0000 8.8231
0.0000 0.0000 26.6120
0.0000 0.0000 0.0000
0.0000 0.0000 17.7176



(8)
K2BeRe PBE optimized geometry; total DFT energy (no corrections) = -0.138 hartree per atom; space group = No. 99; formation enthalpy at 0 K = 827 meV/atom; total magnetization = 0.00 μB/cell; Fermi-level density of states = 2.687 states/eV per cell
1.0
3.2406 0.0000 0.0000
0.0000 3.2406 0.0000
0.0000 0.0000 10.2128
K Be Re
2 1 1
Cartesian
0.0000 0.0000 0.0000
1.6203 1.6203 4.3776
1.6203 1.6203 7.4623
0.0000 0.0000 7.0761



(9)
K2BeRe PBE optimized geometry; total DFT energy (no corrections) = -0.116 hartree per atom; space group = No. 65; formation enthalpy at 0 K = 1426 meV/atom; total magnetization = 0.00 μB/cell; Fermi-level density of states = 2.614 states/eV per cell
1.0
1.5799 -2.2754 0.0000
1.5799 2.2754 0.0000
0.0000 0.0000 11.7337
K Be Re
2 1 1
Cartesian
0.0000 0.0000 2.9060
0.0000 0.0000 8.8277
1.5799 0.0000 5.8668
1.5799 0.0000 0.0000



(10)
KBeRe PBE optimized geometry; total DFT energy (no corrections) = -0.134 hartree per atom; space group = No. 216; formation enthalpy at 0 K = 2113 meV/atom; energy above the most stable polymorph in this dataset = 3.63 eV/f.u.; total magnetization = 2.15 μB/cell; Fermi-level density of states = 1.567 states/eV per cell
1.0
0.0000 3.1800 3.1800
3.1800 0.0000 3.1800
3.1800 3.1800 0.0000
K Be Re
1 1 1
Cartesian
0.0000 0.0000 0.0000
1.5900 1.5900 1.5900
3.1800 3.1800 3.1800



Q: What is the total DFT energy (no corrections) in the fourth record?
A: -0.252 hartree per atom